LiAg2GeSe4 | PBE | optimized geometry

POSCAR file:
```
LiAg2GeSe4
1.0
-3.768 3.893 5.644
3.768 -3.893 5.644
3.768 3.893 -5.644
Li Ag Ge Se
2 4 2 8
direct
0.000 0.000 0.000
0.500 0.000 0.500
0.000 0.500 0.500
0.500 0.000 0.000
0.500 0.500 0.000
0.500 0.500 0.500
0.000 0.000 0.500
0.000 0.500 0.000
0.220 0.229 0.991
0.237 0.249 0.512
0.237 0.724 0.988
0.262 0.771 0.491
0.738 0.229 0.509
0.763 0.276 0.012
0.763 0.751 0.488
0.780 0.771 0.009
```

Computed properties:
The space group is Imma, No. 74. For the energy relative to the elements, uncorrected, the calculation gives -207 kJ/mol of formula units. Its calculated total energy is -3.539 eV/atom. The value obtained for the density of states at the Fermi level is 0.47 states/eV per atom. Its total magnetic moment is 0.0000 μB/atom.